No. 1
CsOF3 (PBE, relaxed); magnetization = 0.0 Bohr magnetons per cell; distance to the lowest polymorph of the same formula = 144.8 meV per atom; formation energy from raw total energies = -103.60 kJ/mol of atoms
1.0
8.460 0.000 0.000
0.000 5.483 0.000
-6.422 0.000 8.500
Cs O F
4 4 12
Cartesian
-1.007 1.360 3.678 Cs
-4.218 1.381 7.928 Cs
6.256 4.102 0.572 Cs
3.045 4.123 4.822 Cs
1.174 4.114 1.191 O
-2.037 4.110 5.441 O
4.075 1.373 3.059 O
0.864 1.369 7.309 O
-2.366 4.106 3.607 F
-5.577 4.119 7.857 F
0.650 4.097 2.820 F
-2.560 4.128 7.070 F
-0.584 4.083 5.546 F
2.627 4.142 1.296 F
-0.589 1.341 7.204 F
2.622 1.400 2.954 F
4.599 1.355 1.430 F
1.388 1.386 5.679 F
7.615 1.364 0.643 F
4.404 1.377 4.893 F



No. 2
Pr5SmDyHo2 (PBE, relaxed); magnetization = 0.0 Bohr magnetons per cell; energy of formation from the pure elements = 14 kJ per mole of atoms
1.0
2.844 -10.298 0.000
2.844 10.298 0.000
0.000 0.000 10.782
Pr Sm Dy Ho
10 2 2 4
Cartesian
2.844 9.977 5.391 Pr
2.844 4.523 8.538 Pr
2.844 4.210 1.991 Pr
2.844 2.315 5.439 Pr
2.844 0.378 2.425 Pr
2.844 -0.378 7.816 Pr
2.844 -2.315 0.047 Pr
2.844 -4.210 7.382 Pr
2.844 -4.523 3.147 Pr
2.844 -9.977 0.000 Pr
2.844 6.184 5.289 Sm
2.844 -6.184 10.680 Sm
2.844 1.882 10.153 Dy
2.844 -1.882 4.761 Dy
2.844 8.004 2.373 Ho
2.844 7.912 8.551 Ho
2.844 -7.912 3.160 Ho
2.844 -8.004 7.764 Ho



No. 3
Ca2AcS3 (PBE, relaxed); magnetization = 0.0 Bohr magnetons per cell; formation energy from raw total energies = -197.89 kJ/mol of atoms
1.0
-2.059 2.952 6.218
2.059 -2.952 6.218
2.059 2.952 -6.218
Ca Ac S
2 1 3
Cartesian
0.000 0.000 2.074 Ca
0.000 0.000 10.363 Ca
0.000 0.000 6.218 Ac
2.059 0.000 0.000 S
2.059 0.000 4.018 S
0.000 2.952 2.200 S